Entry 1:
VASP calculation (PBE) on PmPrCO after structural relaxation.

raw formation energy	-1459	meV per atom
crystal system	trigonal

Cell and atoms, written as extended XYZ:
```
4
Lattice="1.851 1.068 6.004 -1.851 1.068 6.004 0.000 -2.137 6.004" Properties=species:S:1:pos:R:3 pbc="T T T"
Pm 0.000 0.000 0.000
Pr 0.000 0.000 8.952
C 0.000 0.000 13.473
O 0.000 0.000 4.539
```

---

Entry 2:
VASP calculation (PBE) on Ti5Al2In after structural relaxation.

crystal system	tetragonal
energy of formation from the pure elements	-0.17	eV per atom

Cell and atoms, written as extended XYZ:
```
16
Lattice="-3.525 3.525 5.663 3.525 -3.525 5.663 3.525 3.525 -5.663" Properties=species:S:1:pos:R:3 pbc="T T T"
Ti 0.000 0.000 0.000
Ti 2.456 -1.069 1.784
Ti 4.594 -1.069 3.879
Ti 4.594 1.069 1.784
Ti 2.456 1.069 3.879
Ti 0.000 0.000 5.663
Ti 1.069 2.456 1.784
Ti -1.069 2.456 3.879
Ti -1.069 4.594 1.784
Ti 1.069 4.594 3.879
Al 2.529 0.997 0.000
Al 2.529 -0.997 5.663
Al 0.997 4.522 0.000
Al 0.997 2.529 5.663
In 0.000 0.000 2.832
In 0.000 0.000 8.495
```

---

Number 1: Fermi-level density of states 0.301 states/eV/atom, calculated volume 17.8 Å³/atom. Number 2: Fermi-level density of states 1.419 states/eV/atom, calculated volume 17.6 Å³/atom.